1:
This record from Alexandria via LeMat-Bulk describes a geometry-optimized CeGaHg structure. The functional is PBE-GGA.

* space-group type: F-43m

Lattice parameters (Å, degrees): 4.8131 4.8131 4.8131 60.00 60.00 60.00
With the nearest neighbours (Å) after each atom.
Atoms (fractional coordinates):
Ce1 0.5000 0.5000 0.5000  4 Ga 2.95
Ga1 0.2500 0.2500 0.2500  4 Hg 2.95, 4 Ce 2.95
Hg1 0.0000 0.0000 0.0000  4 Ga 2.95

2:
This record from Alexandria via LeMat-Bulk describes a geometry-optimized CeGaHg structure. The functional is PBE-GGA.

* space-group type: I4mm

Lattice parameters (Å, degrees): 3.4713 3.4713 6.4117 105.71 105.71 90.00
With the nearest neighbours (Å) after each atom.
Atoms (fractional coordinates):
Ga1 0.6749 0.6749 0.3497  4 Hg 2.99, 4 Ce 3.16
Ce1 0.0063 0.0063 0.0126  4 Ga 3.16, 4 Hg 3.31, 4 Ce 3.47
Hg1 0.3188 0.3188 0.6377  4 Ga 2.99, 4 Ce 3.31

Result of the stability comparison: 2 is the least stable of them.